No. 1
The following is a DFT calculation (GGA+U) of a relaxed PmHoV2O8 crystal.

Structure (POSCAR):
```
PmHoV2O8
1.0
-4.879 -3.226 1.607
5.349 -2.831 0.405
0.272 4.680 3.849
Pm Ho V O
1 1 2 8
direct
0.250 0.750 0.500
0.000 0.000 0.000
0.750 0.250 0.500
0.500 0.500 0.000
0.393 0.079 0.314
0.322 0.503 0.180
0.322 0.142 0.820
0.765 0.079 0.686
0.858 0.678 0.180
0.921 0.235 0.314
0.921 0.607 0.686
0.497 0.678 0.820
```

Values from the calculation:
spin magnetization	0.00	Bohr magnetons per cell
VASP energy	-96.628	eV per formula unit

***

No. 2
The following is a DFT calculation (GGA+U) of a relaxed PmHo2WO8 crystal.

Structure (POSCAR):
```
PmHo2WO8
1.0
5.041 -0.037 -0.003
-0.010 5.042 -0.005
0.004 0.008 6.929
Pm Ho W O
1 2 1 8
direct
0.000 0.000 0.500
0.500 0.500 0.757
0.500 0.500 0.243
0.000 0.000 0.000
0.185 0.815 0.207
0.723 0.723 0.000
0.815 0.185 0.207
0.815 0.185 0.793
0.277 0.277 0.000
0.185 0.815 0.793
0.683 0.684 0.500
0.317 0.316 0.500
```

Values from the calculation:
spin magnetization	0.88	Bohr magnetons per cell
VASP energy	-94.824	eV per formula unit